No. 1
6
Lattice="1.4615 5.1150 -0.6280 -1.4615 5.1150 -0.6280 0.0000 0.1670 9.4063" Properties=species:S:1:pos:R:3 comment="PBE-GGA Hg2Ir, relaxed" n_ef_per_ev_atom=0.726 delta_e_f_ev_per_fu=0.99 dft_energy_ev_per_atom=-2.8261 pbc="T T T"
Hg 0.0000 0.4036 9.0789
Hg 0.0000 7.9718 0.5699
Hg 0.0000 3.3315 3.7277
Hg 0.0000 6.0832 5.4725
Ir 0.0000 8.8270 5.4904
Ir 0.0000 3.0081 8.1595


No. 2
5
Lattice="5.4152 0.0000 0.0000 0.0000 5.4152 0.0000 0.0000 0.0000 5.4152" Properties=species:S:1:pos:R:3 comment="PBE-GGA Pm3CuPb, relaxed" n_ef_per_ev_atom=1.212 relative_energy_mev_per_atom=127.6 delta_e_f_ev_per_fu=-0.44 dft_energy_ev_per_atom=-4.4985 pbc="T T T"
Pb 2.7076 2.7076 2.7076
Cu 0.0000 0.0000 0.0000
Pm 0.0000 2.7076 0.0000
Pm 0.0000 0.0000 2.7076
Pm 2.7076 0.0000 0.0000


No. 3
4
Lattice="-2.3872 -4.9385 -0.0597 3.1264 -1.6789 4.1831 -3.0170 4.5617 0.4238" Properties=species:S:1:pos:R:3 comment="PBE-GGA BaMgCd2, relaxed" n_ef_per_ev_atom=0.685 delta_e_f_ev_per_fu=-0.58 dft_energy_ev_per_atom=-1.4817 pbc="T T T"
Ba -2.5173 -1.8431 1.2131
Cd 0.7390 -6.6157 4.1223
Cd 0.2394 -0.2124 3.3340
Mg 0.3698 -3.3106 2.0629


No. 4
4
Lattice="0.0000 3.2550 3.2550 3.2550 0.0000 3.2550 3.2550 3.2550 0.0000" Properties=species:S:1:pos:R:3 comment="PBE-GGA Ti2ZnCd, relaxed" n_ef_per_ev_atom=0.088 relative_energy_mev_per_atom=75.9 delta_e_f_ev_per_fu=-0.02 dft_energy_ev_per_atom=-4.4997 pbc="T T T"
Zn 0.0000 0.0000 0.0000
Ti 1.6275 1.6275 1.6275
Ti 4.8825 4.8825 4.8825
Cd 3.2550 3.2550 3.2550


No. 5
36
Lattice="-1.0054 -7.0263 -3.2730 3.3059 -0.4180 -7.0703 6.5142 -3.9419 0.5358" Properties=species:S:1:pos:R:3 comment="PBE-GGA NaBe2BO3F2, relaxed" n_ef_per_ev_atom=0.000 e_form_raw_ev_per_atom=-2.80 dft_energy_ev_per_atom=-6.5818 pbc="T T T"
Na -0.1816 -5.7635 -3.9986
Na 3.7048 -6.7698 -4.2850
Na 1.5714 -3.0766 -5.5426
Na 5.4246 -4.1337 -5.7998
Be 3.2557 -5.6624 -7.6364
Be 2.1691 -1.5247 -2.2518
Be 4.2209 -5.2852 -0.8578
Be 2.0040 -4.2794 -2.2173
Be 7.5256 -8.5125 -8.3309
Be 5.5489 -9.0409 -6.4789
Be 6.1903 -4.7560 -2.7272
Be 3.0787 -8.4231 -7.6154
B 5.3104 -7.1292 -8.2134
B -0.0994 -2.8508 -1.7218
B 7.4825 -10.7296 -6.8248
B 4.2881 -3.0555 -2.2845
O 2.6214 -0.9308 -3.7455
O 2.7193 -5.5885 -1.5290
O 8.3718 -7.1160 -7.9807
O 7.1522 -3.5418 -3.2472
O 2.9409 -2.9419 -2.0154
O 3.9135 -9.1418 -6.3568
O 5.9739 -8.2908 -7.8803
O 4.9806 -4.1449 -1.7950
O 8.1745 -9.7047 -7.4233
O 3.8845 -4.4383 -8.5175
O 3.9350 -7.0865 -8.1014
O 0.5612 -1.8023 -2.3148
F 6.1409 -8.2921 -5.2690
F 1.7388 -4.5271 -3.7149
F 4.4009 -8.4148 -2.7609
F 3.5531 -5.4243 -6.1441
F 3.8844 -2.4268 -5.4725
F 7.3469 -5.2551 -6.4635
F 5.5768 -5.4786 -3.9410
F 1.4729 -7.4789 -4.4564


No. 6
12
Lattice="-0.0468 -5.0984 4.9528 4.9252 5.1207 0.2166 -6.5290 4.5136 2.8846" Properties=species:S:1:pos:R:3 comment="PBE-GGA Cs3YU2S6, relaxed" n_ef_per_ev_atom=0.620 e_form_raw_ev_per_atom=-1.49 dft_energy_ev_per_atom=-6.1905 pbc="T T T"
Cs 0.8370 5.6846 2.4435
Cs -2.4877 -1.1488 5.6105
Cs -0.8253 2.2679 4.0270
Y 0.0000 0.0000 0.0000
U 3.2683 1.7153 1.7948
U 1.6100 -1.6930 3.3745
S -2.4051 1.9977 7.1412
S 2.3530 0.8376 4.2774
S 0.7544 2.5382 0.9128
S -0.7411 5.4177 5.5561
S -4.0036 3.6982 3.7766
S -0.9096 -0.8819 2.4979


No. 7
4
Lattice="-3.4662 -2.6379 -1.0690 1.3655 -0.8640 -2.2956 2.6024 -4.2318 2.0042" Properties=species:S:1:pos:R:3 comment="PBE-GGA Ta2IrW, relaxed" n_ef_per_ev_atom=0.748 relative_energy_mev_per_atom=137.5 delta_e_f_ev_per_fu=-0.76 dft_energy_ev_per_atom=-11.5707 pbc="T T T"
Ir 1.2428 -5.1408 -0.7530
Ta 0.0264 -0.0257 -0.0221
Ta 1.9576 -2.5222 -0.1236
W -0.7411 -2.5929 -0.6073


No. 8
5
Lattice="-1.3181 -5.0608 1.1400 3.1677 0.1462 4.3120 -5.0550 2.1368 3.6411" Properties=species:S:1:pos:R:3 comment="PBE-GGA KHg2AuBr, relaxed" n_ef_per_ev_atom=0.610 e_form_raw_ev_per_atom=-0.48 dft_energy_ev_per_atom=-1.8151 pbc="T T T"
K -2.5275 1.0684 1.8206
Au 0.0000 0.0000 0.0000
Hg 1.5839 0.0731 2.1560
Hg -0.6591 -2.5304 0.5700
Br -1.6027 -1.3889 4.5465


No. 9
5
Lattice="-2.2123 -4.1426 3.1484 -2.6707 -2.0321 -4.5504 4.1521 -3.0383 -1.0801" Properties=species:S:1:pos:R:3 comment="PBE-GGA KTl2ZnIn, relaxed" n_ef_per_ev_atom=0.789 delta_e_f_ev_per_fu=0.45 dft_energy_ev_per_atom=-1.8775 pbc="T T T"
K -0.3654 -4.6065 -1.2411
Tl -1.3354 -1.0160 -2.2752
Tl -1.1061 -2.0713 1.5742
Zn 0.0000 0.0000 0.0000
In 2.0761 -1.5191 -0.5401


No. 10
8
Lattice="5.8877 0.0000 0.0000 0.0000 5.8877 0.0000 2.9439 2.9439 5.4267" Properties=species:S:1:pos:R:3 comment="PBE-GGA LiNbCl2, relaxed" n_ef_per_ev_atom=0.117 relative_energy_mev_per_atom=386.5 e_form_raw_ev_per_atom=-0.42 dft_energy_ev_per_atom=-4.3414 pbc="T T T"
Nb 0.0000 0.0000 0.0000
Nb 5.8877 2.9439 2.7133
Li 2.9439 2.9439 0.0000
Li 2.9439 5.8877 2.7133
Cl 4.1832 1.4719 1.3567
Cl 1.7046 4.4158 1.3567
Cl 4.4158 4.6484 4.0700
Cl 7.3597 7.1270 4.0700


No. 11
11
Lattice="-7.8221 0.3163 -3.8171 2.8970 -2.2783 -6.1253 -2.5059 -4.7246 4.7436" Properties=species:S:1:pos:R:3 comment="PBE-GGA Pm7Sm3Sc, relaxed" n_ef_per_ev_atom=1.468 relative_energy_mev_per_atom=0.0 delta_e_f_ev_per_fu=1.98 dft_energy_ev_per_atom=-4.7061 pbc="T T T"
Pm -2.5236 -4.2760 2.4653
Pm -1.2811 -1.9334 0.1132
Pm 0.1505 -3.0555 -2.9638
Pm -1.5392 -2.5447 -6.0307
Pm -2.9822 -1.4099 -2.9796
Pm -2.7873 -4.8981 -3.6679
Pm -1.0872 -5.4057 -0.5719
Sm -5.9114 -3.2578 -3.6545
Sm -7.1551 -5.6027 -1.3002
Sm -7.3493 -2.1270 -0.6144
Sc -4.1839 -3.7685 -0.5771


No. 12
3
Lattice="4.2508 0.0000 0.0000 2.1254 3.6813 0.0000 2.1254 1.2271 3.4708" Properties=species:S:1:pos:R:3 comment="PBE-GGA TlCuOs, relaxed" n_ef_per_ev_atom=1.539 relative_energy_mev_per_atom=274.7 delta_e_f_ev_per_fu=3.32 dft_energy_ev_per_atom=-4.7907 pbc="T T T"
Cu 6.3762 3.6813 2.6031
Os 0.0000 0.0000 0.0000
Tl 4.2508 2.4542 1.7354


- Number 10 is which compound?
  LiNbCl2